1.
# NdY2Zr, relaxed, DFT GGA-PBE
data_NdY2Zr
_chemical_formula_sum 'Nd1 Y2 Zr1'
_space_group_name_H-M_alt 'P 1'
_space_group_IT_number 1
_space_group_name_Hall 'P 1'
_cell_length_a 4.918
_cell_length_b 4.918
_cell_length_c 4.944
_cell_angle_alpha 90.00
_cell_angle_beta 90.00
_cell_angle_gamma 90.00
loop_
_atom_site_label
_atom_site_fract_x
_atom_site_fract_y
_atom_site_fract_z
_atom_site_occupancy
Nd1 0.000 0.000 0.000 1
Y1 0.000 0.500 0.500 1
Y2 0.500 0.000 0.500 1
Zr1 0.500 0.500 0.000 1
# total DFT energy (no corrections)	-25.77	eV per cell
# DOS at the Fermi energy	5.18	states/eV/cell
# density	5.7	g/cm³
# excess energy over the best structure of this formula in the dataset	25	meV/atom

***

2.
# NdYZr, relaxed, DFT GGA-PBE
data_NdYZr
_chemical_formula_sum 'Nd2 Y2 Zr2'
_space_group_name_H-M_alt 'P 1'
_space_group_IT_number 1
_space_group_name_Hall 'P 1'
_cell_length_a 3.412
_cell_length_b 4.877
_cell_length_c 10.717
_cell_angle_alpha 90.00
_cell_angle_beta 98.96
_cell_angle_gamma 90.00
loop_
_atom_site_label
_atom_site_fract_x
_atom_site_fract_y
_atom_site_fract_z
_atom_site_occupancy
Nd1 0.057 0.250 0.099 1
Nd2 0.943 0.750 0.901 1
Y1 0.359 0.250 0.728 1
Y2 0.641 0.750 0.272 1
Zr1 0.217 0.250 0.430 1
Zr2 0.783 0.750 0.570 1
# total DFT energy (no corrections)	-38.70	eV per cell
# DOS at the Fermi energy	7.73	states/eV/cell
# density	6.1	g/cm³
# excess energy over the best structure of this formula in the dataset	35	meV/atom